Entry 1:
Material: Ac5Ga2Ge5
Method: DFT, PBE
State: relaxed

For the formation energy, the calculation gives -0.655 eV/atom. The calculation puts the density of states at the Fermi level at 13.39 states/eV/cell.

The structure belongs to space group C2/m (No. 12); the cell edges are 15.9592, 4.4076 and 12.2334 Å and the angles 90.00°, 127.60° and 90.00°. The inequivalent atoms are Ac at (0.0000, 0.0000, 0.0000), Ac at (0.1291, 0.5000, 0.8277), Ac at (0.1827, 0.5000, 0.5768), Ga at (0.1173, 0.5000, 0.2595), Ge at (0.0000, 0.0000, 0.5000), Ge at (0.0649, 0.0000, 0.3219) and Ge at (0.2025, 0.5000, 0.1386).

Entry 2:
Material: AcGa2GeH2
Method: DFT, PBE
State: relaxed

The calculation puts the density of states at the Fermi level at 2.79 states/eV/cell. The energy is -3.75 eV/atom.

The structure belongs to space group P2_1/m (No. 11); the cell edges are 6.5396, 5.3102 and 6.6401 Å and the angles 90.00°, 100.52° and 90.00°. The inequivalent atoms are Ac at (0.1981, 0.2500, 0.3833), Ga at (0.2580, 0.5098, 0.8804), Ge at (0.4380, 0.7500, 0.2264), H at (0.0508, 0.7500, 0.3897) and H at (0.1323, 0.2500, 0.9965).

Repeat the second record exactly.
Material: AcGa2GeH2
Method: DFT, PBE
State: relaxed

The calculation puts the density of states at the Fermi level at 2.79 states/eV/cell. The energy is -3.75 eV/atom.

The structure belongs to space group P2_1/m (No. 11); the cell edges are 6.5396, 5.3102 and 6.6401 Å and the angles 90.00°, 100.52° and 90.00°. The inequivalent atoms are Ac at (0.1981, 0.2500, 0.3833), Ga at (0.2580, 0.5098, 0.8804), Ge at (0.4380, 0.7500, 0.2264), H at (0.0508, 0.7500, 0.3897) and H at (0.1323, 0.2500, 0.9965).